Entry from the Alexandria database: NiTe2Rh after structural relaxation (PBE).

Unit cell a=5.833 b=5.833 c=7.104 alpha=65.76 beta=65.76 gamma=90.00
Atoms (fractional coordinates):
1 Te 0.375 0.388 0.750
2 Te 0.875 0.862 0.750
3 Te 0.612 0.125 0.250
4 Te 0.138 0.625 0.250
5 Rh 0.750 0.250 0.500
6 Rh 0.000 0.000 0.000
7 Ni 0.500 0.500 0.000
8 Ni 0.250 0.750 0.500

Summary:
Space-group type = I-42d
Uncorrected energy = -4.93 eV per atom